! SrBeBAu (PBE, optimized geometry); values from VASP
! * calculated density: 6.95 g/cm³
! * calculated total energy: -3.09 eV per atom
! * crystal system: cubic
&SYSTEM
  ibrav = 0, nat = 4, ntyp = 4
/
ATOMIC_SPECIES
B 10.81 B.upf
Sr 87.62 Sr.upf
Au 196.97 Au.upf
Be 9.01 Be.upf
CELL_PARAMETERS angstrom
3.621 0.607 2.911
0.140 -2.304 4.077
3.101 -3.455 0.634
ATOMIC_POSITIONS crystal
B 0.250 0.250 0.250
Sr 0.000 0.000 0.000
Au 0.750 0.750 0.750
Be 0.500 0.500 0.500